Entry 1:
{
  "formula": "Pm6ErPb6",
  "functional": "PBE-GGA",
  "state": "optimized geometry",
  "lattice_angstrom": [[7.432, 0.000, 0.000], [-3.716, 6.437, 0.000], [0.000, 0.000, 9.360]],
  "species": ["Pm", "Pm", "Pm", "Pm", "Pm", "Pm", "Er", "Pb", "Pb", "Pb", "Pb", "Pb", "Pb"],
  "frac_coords": [[0.000, 0.500, 0.248], [0.000, 0.500, 0.752], [0.500, 0.000, 0.248], [0.500, 0.000, 0.752], [0.500, 0.500, 0.248], [0.500, 0.500, 0.752], [0.000, 0.000, 0.500], [0.000, 0.000, 0.168], [0.000, 0.000, 0.832], [0.333, 0.667, 0.000], [0.333, 0.667, 0.500], [0.667, 0.333, 0.000], [0.667, 0.333, 0.500]],
  "m_tot_mub_per_cell": 0.000,
  "e_form_ev_per_atom": -0.261,
  "dos_ef_per_ev_cell": 13.99,
  "e_tot_ev_per_atom": -4.516
}

Entry 2:
{
  "formula": "PmEr2Pb",
  "functional": "PBE-GGA",
  "state": "optimized geometry",
  "lattice_angstrom": [[0.000, 3.867, 3.867], [3.867, 0.000, 3.867], [3.867, 3.867, 0.000]],
  "species": ["Pm", "Er", "Er", "Pb"],
  "frac_coords": [[0.000, 0.000, 0.000], [0.250, 0.250, 0.250], [0.750, 0.750, 0.750], [0.500, 0.500, 0.500]],
  "m_tot_mub_per_cell": 0.597,
  "e_form_ev_per_atom": -0.065,
  "dos_ef_per_ev_cell": 6.94,
  "polymorph_energy_ev_per_fu": 0.966,
  "e_tot_ev_per_atom": -4.462
}